# PBE-GGA Li2Ca4Ac, optimized geometry
data_Li2Ca4Ac
_symmetry_space_group_name_H-M 'P 1'
_symmetry_Int_Tables_number 1
_cell_length_a 3.8512
_cell_length_b 6.0678
_cell_length_c 11.6476
_cell_angle_alpha 105.10
_cell_angle_beta 90.00
_cell_angle_gamma 90.00
loop_
_symmetry_equiv_pos_as_xyz
'x,y,z'
loop_
_atom_site_label
_atom_site_fract_x
_atom_site_fract_y
_atom_site_fract_z
Ca1 0.0000 0.8016 0.6031
Ac1 0.0000 0.5000 0.0000
Ca2 0.5000 0.6498 0.2997
Ca3 0.5000 0.3502 0.7003
Li1 0.5000 0.9346 0.8692
Li2 0.5000 0.0654 0.1308
Ca4 0.0000 0.1984 0.3969
# Formation enthalpy at 0 K = 54.5 kJ/mol of formula units

# PBE-GGA Mn2RuPt, optimized geometry
data_Mn2RuPt
_symmetry_space_group_name_H-M 'P 1'
_symmetry_Int_Tables_number 1
_cell_length_a 4.5182
_cell_length_b 4.5182
_cell_length_c 4.8407
_cell_angle_alpha 80.31
_cell_angle_beta 80.31
_cell_angle_gamma 35.62
loop_
_symmetry_equiv_pos_as_xyz
'x,y,z'
loop_
_atom_site_label
_atom_site_fract_x
_atom_site_fract_y
_atom_site_fract_z
Ru1 0.2500 0.2500 0.2500
Pt1 0.7500 0.7500 0.7500
Mn1 0.9975 0.9975 0.0081
Mn2 0.5025 0.5025 0.4919
# Formation enthalpy at 0 K = 6.7 kJ/mol of formula units

# PBE-GGA Pr4Sb3P, optimized geometry
data_Pr4Sb3P
_symmetry_space_group_name_H-M 'P 1'
_symmetry_Int_Tables_number 1
_cell_length_a 4.4607
_cell_length_b 7.7534
_cell_length_c 7.7534
_cell_angle_alpha 109.31
_cell_angle_beta 90.00
_cell_angle_gamma 90.00
loop_
_symmetry_equiv_pos_as_xyz
'x,y,z'
loop_
_atom_site_label
_atom_site_fract_x
_atom_site_fract_y
_atom_site_fract_z
Pr1 0.0000 0.7650 0.7650
Sb1 0.5000 0.5000 0.5000
Sb2 0.0000 0.5000 0.0000
Pr2 0.5000 0.2419 0.7581
Sb3 0.0000 0.0000 0.5000
Pr3 0.0000 0.2350 0.2350
Pr4 0.5000 0.7581 0.2419
P1 0.5000 0.0000 0.0000
# Uncorrected formation energy = -1237.3 meV/atom

# PBE-GGA Na2MgGeO, optimized geometry
data_Na2MgGeO
_symmetry_space_group_name_H-M 'P 1'
_symmetry_Int_Tables_number 1
_cell_length_a 5.9064
_cell_length_b 4.7482
_cell_length_c 5.9064
_cell_angle_alpha 90.00
_cell_angle_beta 90.00
_cell_angle_gamma 90.00
loop_
_symmetry_equiv_pos_as_xyz
'x,y,z'
loop_
_atom_site_label
_atom_site_fract_x
_atom_site_fract_y
_atom_site_fract_z
Na1 0.5000 0.0000 0.0000
O1 0.5000 0.5000 0.5000
Mg1 0.0000 0.0000 0.0000
Ge1 0.0000 0.5000 0.0000
Na2 0.0000 0.0000 0.5000
# Uncorrected formation energy = 609.4 meV/atom

# PBE-GGA CaDy2Mg5, optimized geometry
data_CaDy2Mg5
_symmetry_space_group_name_H-M 'P 1'
_symmetry_Int_Tables_number 1
_cell_length_a 4.9890
_cell_length_b 4.9890
_cell_length_c 9.3707
_cell_angle_alpha 105.44
_cell_angle_beta 105.44
_cell_angle_gamma 90.00
loop_
_symmetry_equiv_pos_as_xyz
'x,y,z'
loop_
_atom_site_label
_atom_site_fract_x
_atom_site_fract_y
_atom_site_fract_z
Mg1 0.1231 0.6231 0.2463
Mg2 0.6231 0.1231 0.2463
Dy1 0.2567 0.2567 0.5135
Mg3 0.5000 0.5000 0.0000
Mg4 0.3769 0.8769 0.7537
Dy2 0.7433 0.7433 0.4865
Mg5 0.8769 0.3769 0.7537
Ca1 0.0000 0.0000 0.0000
# Formation enthalpy at 0 K = -36.2 kJ/mol of formula units

# PBE-GGA Li3MgGa3, optimized geometry
data_Li3MgGa3
_symmetry_space_group_name_H-M 'P 1'
_symmetry_Int_Tables_number 1
_cell_length_a 6.8530
_cell_length_b 6.8530
_cell_length_c 6.8530
_cell_angle_alpha 90.00
_cell_angle_beta 90.00
_cell_angle_gamma 90.00
loop_
_symmetry_equiv_pos_as_xyz
'x,y,z'
loop_
_atom_site_label
_atom_site_fract_x
_atom_site_fract_y
_atom_site_fract_z
Ga1 0.0000 0.5000 0.7500
Li1 0.7500 0.5000 0.0000
Li2 0.5000 0.0000 0.7500
Mg1 0.5000 0.5000 0.5000
Ga2 0.2500 0.0000 0.5000
Ga3 0.5000 0.7500 0.0000
Ga4 0.7500 0.0000 0.5000
Li3 0.5000 0.0000 0.2500
Mg2 0.0000 0.0000 0.0000
Li4 0.0000 0.7500 0.5000
Ga5 0.5000 0.2500 0.0000
Li5 0.0000 0.2500 0.5000
Ga6 0.0000 0.5000 0.2500
Li6 0.2500 0.5000 0.0000
# Formation enthalpy at 0 K = 260.6 kJ/mol of formula units

# PBE-GGA Dy15Y2Er2, optimized geometry
data_Dy15Y2Er2
_symmetry_space_group_name_H-M 'P 1'
_symmetry_Int_Tables_number 1
_cell_length_a 8.6938
_cell_length_b 8.6938
_cell_length_c 8.6938
_cell_angle_alpha 79.44
_cell_angle_beta 79.44
_cell_angle_gamma 79.44
loop_
_symmetry_equiv_pos_as_xyz
'x,y,z'
loop_
_atom_site_label
_atom_site_fract_x
_atom_site_fract_y
_atom_site_fract_z
Dy1 0.3715 0.8511 0.3715
Dy2 0.0000 0.7019 0.2981
Y1 0.3217 0.3217 0.3217
Dy3 0.0000 0.0000 0.5000
Dy4 0.2981 0.0000 0.7019
Dy5 0.7019 0.2981 0.0000
Dy6 0.7019 0.0000 0.2981
Y2 0.6783 0.6783 0.6783
Er1 0.0954 0.0954 0.0954
Dy7 0.6285 0.6285 0.1489
Dy8 0.8511 0.3715 0.3715
Dy9 0.1489 0.6285 0.6285
Dy10 0.5000 0.0000 0.0000
Dy11 0.0000 0.5000 0.0000
Dy12 0.0000 0.2981 0.7019
Dy13 0.6285 0.1489 0.6285
Dy14 0.3715 0.3715 0.8511
Dy15 0.2981 0.7019 0.0000
Er2 0.9046 0.9046 0.9046
# Formation enthalpy at 0 K = 508.9 kJ/mol of formula units

# PBE-GGA TePt2N2, optimized geometry
data_TePt2N2
_symmetry_space_group_name_H-M 'P 1'
_symmetry_Int_Tables_number 1
_cell_length_a 7.5191
_cell_length_b 7.5191
_cell_length_c 3.1519
_cell_angle_alpha 90.00
_cell_angle_beta 90.00
_cell_angle_gamma 90.00
loop_
_symmetry_equiv_pos_as_xyz
'x,y,z'
loop_
_atom_site_label
_atom_site_fract_x
_atom_site_fract_y
_atom_site_fract_z
Pt1 0.3178 0.1822 0.0000
Te1 0.0000 0.0000 0.0000
Pt2 0.6822 0.8178 0.0000
N1 0.9441 0.4441 0.5000
Te2 0.5000 0.5000 0.0000
N2 0.0559 0.5559 0.5000
N3 0.4441 0.0559 0.5000
N4 0.5559 0.9441 0.5000
Pt3 0.1822 0.6822 0.0000
Pt4 0.8178 0.3178 0.0000
# Uncorrected formation energy = 516.8 meV/atom
# Polymorph energy (0 for the lowest one) = 0 meV/atom